[1]
DFT (PBE) results for a relaxed structure of Zn2Ga3Ag4.

Cell and atoms, written as POSCAR:
```
Zn2Ga3Ag4
1.0
6.580 -4.865 0.000
6.580 4.865 0.000
-0.966 0.000 4.870
Zn Ga Ag
4 6 8
direct
0.091 0.355 0.366
0.355 0.091 0.866
0.645 0.909 0.134
0.909 0.645 0.634
0.134 0.866 0.750
0.206 0.462 0.921
0.462 0.206 0.421
0.538 0.794 0.579
0.794 0.538 0.079
0.866 0.134 0.250
0.004 0.226 0.812
0.226 0.004 0.312
0.313 0.564 0.467
0.436 0.687 0.033
0.564 0.313 0.967
0.687 0.436 0.533
0.774 0.996 0.688
0.996 0.774 0.188
```

## Properties
Its excess energy over the best structure of this formula in the dataset is 0.000 eV/atom. The total energy comes out at -2.544 eV/atom. The density of states at the Fermi level comes out at 0.33 states/eV per atom. As for the crystal system: monoclinic.

---

[2]
DFT (PBE) results for a relaxed structure of LaTmIn.

Cell and atoms, written as POSCAR:
```
LaTmIn
1.0
4.874 0.000 0.000
-2.437 4.221 0.000
0.000 0.000 11.413
La Tm In
2 2 2
direct
0.000 0.000 0.163
0.000 0.000 0.837
0.333 0.667 0.402
0.667 0.333 0.598
0.333 0.667 0.694
0.667 0.333 0.306
```

## Properties
Its excess energy over the best structure of this formula in the dataset is 0.427 eV/atom. The total energy comes out at -3.954 eV/atom. The density of states at the Fermi level comes out at 0.93 states/eV per atom. As for the crystal system: trigonal.

---

[3]
DFT (PBE) results for a relaxed structure of SnMoPb2.

Cell and atoms, written as POSCAR:
```
SnMoPb2
1.0
4.325 0.000 0.000
0.000 4.325 0.000
0.000 0.000 22.216
Sn Mo Pb
4 4 8
direct
0.000 0.000 0.000
0.000 0.500 0.250
0.500 0.000 0.750
0.500 0.500 0.500
0.000 0.000 0.500
0.000 0.500 0.750
0.500 0.000 0.250
0.500 0.500 0.000
0.244 0.250 0.625
0.250 0.744 0.875
0.250 0.756 0.375
0.256 0.250 0.125
0.744 0.750 0.125
0.750 0.244 0.375
0.750 0.256 0.875
0.756 0.750 0.625
```

## Properties
The total energy comes out at -4.822 eV/atom. The density of states at the Fermi level comes out at 0.78 states/eV per atom. As for the crystal system: tetragonal.

---

[4]
DFT (PBE) results for a relaxed structure of Ce2PrPuSe4.

Cell and atoms, written as POSCAR:
```
Ce2PrPuSe4
1.0
7.292 0.000 0.000
0.000 4.194 0.000
-2.412 0.000 6.894
Ce Pr Pu Se
2 1 1 4
direct
0.000 0.000 0.000
0.500 0.500 0.000
0.000 0.500 0.500
0.500 0.000 0.500
0.255 0.000 0.751
0.256 0.500 0.253
0.744 0.500 0.747
0.745 0.000 0.249
```

## Properties
The total energy comes out at -7.372 eV/atom. The density of states at the Fermi level comes out at 2.53 states/eV per atom. The energy relative to the elements, uncorrected comes out at -14.06 eV per formula unit. As for the crystal system: monoclinic.

---

[5]
DFT (PBE) results for a relaxed structure of KTl5Se3.

Cell and atoms, written as POSCAR:
```
KTl5Se3
1.0
6.070 -5.028 0.000
6.070 5.028 0.000
-5.514 0.000 11.859
K Tl Se
2 10 6
direct
0.232 0.232 0.262
0.768 0.768 0.738
0.175 0.175 0.567
0.187 0.187 0.915
0.230 0.609 0.633
0.322 0.678 0.000
0.391 0.770 0.367
0.609 0.230 0.633
0.678 0.322 0.000
0.770 0.391 0.367
0.813 0.813 0.085
0.825 0.825 0.433
0.000 0.000 0.000
0.011 0.011 0.673
0.454 0.454 0.177
0.500 0.500 0.500
0.546 0.546 0.823
0.989 0.989 0.327
```

## Properties
The total energy comes out at -2.993 eV/atom. The density of states at the Fermi level comes out at 0.04 states/eV per atom. The energy relative to the elements, uncorrected comes out at -3.55 eV per formula unit. As for the crystal system: monoclinic.

---

[6]
DFT (PBE) results for a relaxed structure of SiSnPb.

Cell and atoms, written as POSCAR:
```
SiSnPb
1.0
4.157 0.000 0.000
2.078 3.601 0.000
0.024 0.008 12.032
Si Sn Pb
2 2 2
direct
0.000 0.000 0.000
0.002 0.001 0.803
0.666 0.666 0.082
0.669 0.668 0.714
0.338 0.335 0.519
0.672 0.669 0.330
```

## Properties
The total energy comes out at -4.154 eV/atom. The density of states at the Fermi level comes out at 0.23 states/eV per atom. The energy relative to the elements, uncorrected comes out at 0.67 eV per formula unit. As for the crystal system: triclinic.

---

[7]
DFT (PBE) results for a relaxed structure of CaBe2Re.

Cell and atoms, written as POSCAR:
```
CaBe2Re
1.0
2.791 0.000 0.000
-1.396 2.417 0.000
0.000 0.000 26.368
Ca Be Re
3 6 3
direct
0.000 0.000 0.000
0.333 0.667 0.667
0.667 0.333 0.333
0.000 0.000 0.494
0.000 0.000 0.763
0.333 0.667 0.161
0.333 0.667 0.429
0.667 0.333 0.096
0.667 0.333 0.828
0.000 0.000 0.234
0.333 0.667 0.901
0.667 0.333 0.567
```

## Properties
Its excess energy over the best structure of this formula in the dataset is 0.512 eV/atom. The total energy comes out at -4.674 eV/atom. The density of states at the Fermi level comes out at 0.84 states/eV per atom. As for the crystal system: trigonal.

---

Repeat the fifth record exactly.
DFT (PBE) results for a relaxed structure of KTl5Se3.

Cell and atoms, written as POSCAR:
```
KTl5Se3
1.0
6.070 -5.028 0.000
6.070 5.028 0.000
-5.514 0.000 11.859
K Tl Se
2 10 6
direct
0.232 0.232 0.262
0.768 0.768 0.738
0.175 0.175 0.567
0.187 0.187 0.915
0.230 0.609 0.633
0.322 0.678 0.000
0.391 0.770 0.367
0.609 0.230 0.633
0.678 0.322 0.000
0.770 0.391 0.367
0.813 0.813 0.085
0.825 0.825 0.433
0.000 0.000 0.000
0.011 0.011 0.673
0.454 0.454 0.177
0.500 0.500 0.500
0.546 0.546 0.823
0.989 0.989 0.327
```

## Properties
The total energy comes out at -2.993 eV/atom. The density of states at the Fermi level comes out at 0.04 states/eV per atom. The energy relative to the elements, uncorrected comes out at -3.55 eV per formula unit. As for the crystal system: monoclinic.